Here is an optimized crystal structure of CeZrInHg from Alexandria. Energies are from PBE.

Values from the calculation:
E: -4.560 eV per atom
ΔE_f: -0.18 eV per atom
ΔE to the lowest computed polymorph: 112 meV/atom
N(E_F): 9.2 states/eV per cell

Unit cell a=5.222 b=5.222 c=5.222 alpha=60.00 beta=60.00 gamma=60.00
Each line ends with the local moment (μB).
Positions (direct):
Zr  0.750  0.750  0.750  0.17
In  0.500  0.500  0.500  -0.01
Hg  0.000  0.000  0.000  0.00
Ce  0.250  0.250  0.250  0.66